Entry 1:
Here is a geometry-optimized CsAu2O4 structure from Alexandria via LeMat-Bulk. Energies are from PBE.

Structure (POSCAR):
```
CsAu2O4
1.0
-3.577 3.577 5.072
3.577 -3.577 5.072
3.577 3.577 -5.072
Cs Au O
2 4 8
Cartesian
0.000 1.788 1.268
3.577 1.788 3.804
1.788 1.788 -2.536
1.788 -1.788 2.536
3.577 0.000 0.000
0.000 0.000 5.072
5.250 0.717 -0.841
4.648 -0.115 1.695
1.904 2.860 -0.841
1.071 -0.115 3.377
2.505 3.692 1.695
1.673 0.717 5.913
-1.071 3.692 3.377
-1.673 2.860 5.913
```

Values from the calculation:
Symmetry: I4_1/a, No. 88
E_form (uncorrected): -0.453 eV/atom
Total energy: -0.31935 Ry per atom


Entry 2:
Here is a geometry-optimized CsOsAuO2 structure from Alexandria via LeMat-Bulk. Energies are from PBE.

Structure (POSCAR):
```
CsOsAuO2
1.0
3.960 0.000 0.000
0.000 3.960 0.000
0.000 0.000 7.461
Cs Os Au O
1 1 1 2
Cartesian
0.000 0.000 0.000
0.000 0.000 3.731
1.980 1.980 0.000
0.000 1.980 3.731
1.980 0.000 3.731
```

Values from the calculation:
Symmetry: P4/mmm, No. 123
E_form (uncorrected): 0.069 eV/atom
Total energy: -0.36649 Ry per atom


Entry 3:
Here is a geometry-optimized Cs2OsAuO6 structure from Alexandria via LeMat-Bulk. Energies are from PBE.

Structure (POSCAR):
```
Cs2OsAuO6
1.0
6.486 0.000 0.000
-3.243 5.617 0.000
0.000 0.000 5.710
Cs Os Au O
2 1 1 6
Cartesian
0.000 3.745 1.301
3.243 1.872 4.409
0.000 0.000 0.000
0.000 0.000 2.855
0.000 1.519 4.552
-1.927 4.857 4.552
1.315 0.760 1.158
1.927 4.857 4.552
5.170 0.760 1.158
3.243 4.098 1.158
```

Values from the calculation:
Symmetry: P-3m1, No. 164
E_form (uncorrected): -0.848 eV/atom
Total energy: -0.40013 Ry per atom